# PBE-GGA Al2SiAgGe, relaxed
# Volume: 22.2 Å³ per atom
# ΔE_f (raw): 0.63 eV/atom
data_Al2SiAgGe
_chemical_formula_sum 'Al2 Si1 Ag1 Ge1'
_cell_length_a 4.8201
_cell_length_b 4.8201
_cell_length_c 4.7827
_cell_angle_alpha 90.00
_cell_angle_beta 90.00
_cell_angle_gamma 90.00
_symmetry_space_group_name_H-M 'P 4/m m m'
_symmetry_Int_Tables_number 123
_symmetry_space_group_name_Hall '-P 4 2'
loop_
_atom_site_label
_atom_site_type_symbol
_atom_site_fract_x
_atom_site_fract_y
_atom_site_fract_z
_atom_site_occupancy
Al1 Al 0.0000 0.5000 0.0000 1
Si1 Si 0.0000 0.0000 0.0000 1
Ag1 Ag 0.0000 0.0000 0.5000 1
Ge1 Ge 0.5000 0.5000 0.5000 1

# PBE-GGA Sr2Al3AgGe4, relaxed
# ΔE_f: -0.327 eV/atom
# Volume: 22.1 Å³ per atom
data_Sr2Al3AgGe4
_chemical_formula_sum 'Sr2 Al3 Ag1 Ge4'
_cell_length_a 4.6169
_cell_length_b 4.6169
_cell_length_c 10.3766
_cell_angle_alpha 90.00
_cell_angle_beta 90.00
_cell_angle_gamma 90.00
_symmetry_space_group_name_H-M 'P -4 m 2'
_symmetry_Int_Tables_number 115
loop_
_symmetry_equiv_pos_as_xyz
'x,y,z'
'y,-x,-z'
'-x,-y,z'
'-y,x,-z'
'-x,y,z'
'-y,-x,-z'
'x,-y,z'
'y,x,-z'
loop_
_atom_site_label
_atom_site_type_symbol
_atom_site_fract_x
_atom_site_fract_y
_atom_site_fract_z
_atom_site_occupancy
Sr1 Sr 0.0000 0.5000 0.2492 1
Al1 Al 0.0000 0.5000 0.8786 1
Al2 Al 0.5000 0.5000 0.5000 1
Ag1 Ag 0.0000 0.0000 0.5000 1
Ge1 Ge 0.0000 0.0000 0.0000 1
Ge2 Ge 0.0000 0.5000 0.6359 1
Ge3 Ge 0.5000 0.5000 0.0000 1

# PBE-GGA Sr2AlAg3Ge4, relaxed
# ΔE_f: -0.321 eV/atom
# Volume: 22.0 Å³ per atom
data_Sr2AlAg3Ge4
_chemical_formula_sum 'Sr2 Al1 Ag3 Ge4'
_cell_length_a 4.3391
_cell_length_b 4.3391
_cell_length_c 11.6637
_cell_angle_alpha 90.00
_cell_angle_beta 90.00
_cell_angle_gamma 90.00
_symmetry_space_group_name_H-M 'P -4 m 2'
_symmetry_Int_Tables_number 115
loop_
_symmetry_equiv_pos_as_xyz
'x,y,z'
'y,-x,-z'
'-x,-y,z'
'-y,x,-z'
'-x,y,z'
'-y,-x,-z'
'x,-y,z'
'y,x,-z'
loop_
_atom_site_label
_atom_site_type_symbol
_atom_site_fract_x
_atom_site_fract_y
_atom_site_fract_z
_atom_site_occupancy
Sr1 Sr 0.0000 0.5000 0.2486 1
Al1 Al 0.5000 0.5000 0.0000 1
Ag1 Ag 0.0000 0.0000 0.0000 1
Ag2 Ag 0.0000 0.5000 0.6407 1
Ge1 Ge 0.0000 0.0000 0.5000 1
Ge2 Ge 0.0000 0.5000 0.8645 1
Ge3 Ge 0.5000 0.5000 0.5000 1